# AlFe2Mo | Alexandria | meta-GGA SCAN | PBEsol geometry
# **Density**: 7.7 Mg/m³
# **E**: -79.14 eV per formula unit
data_AlFe2Mo
_cell_length_a 3.6774
_cell_length_b 3.6774
_cell_length_c 3.7656
_cell_angle_alpha 90.00
_cell_angle_beta 90.00
_cell_angle_gamma 90.00
_symmetry_space_group_name_H-M 'P 4/m m m'
_symmetry_Int_Tables_number 123
_symmetry_space_group_name_Hall '-P 4 2'
loop_
_atom_site_label
_atom_site_type_symbol
_atom_site_fract_x
_atom_site_fract_y
_atom_site_fract_z
Al1 Al 0.0000 0.0000 0.0000
Fe1 Fe 0.0000 0.5000 0.5000
Mo1 Mo 0.5000 0.5000 0.0000